A plane-wave DFT calculation with GGA-PBE was carried out for crystalline USbH at its relaxed geometry.

Properties
E_tot (eV/cell): -18.94
SG: Amm2 (38)

Cell lengths 3.094, 3.390, 5.582 Å; angles 107.67, 89.98, 90.04 degrees
Last column: magnetic moment on the atom in μB.
Positions (direct):
U 0.332 0.989 0.266  2.88
Sb 0.832 0.264 0.816  -0.06
H 0.832 0.536 0.360  -0.02

A plane-wave DFT calculation with GGA-PBE was carried out for crystalline CdSb6S8I4 at its relaxed geometry.

Properties
SG: P-1 (2)
Formation energy (no corrections) (meV per atom): -328

Cell lengths 7.621, 9.142, 9.121 Å; angles 93.45, 109.57, 95.50 degrees
Positions (direct):
I 0.657 0.344 0.151
I 0.343 0.656 0.849
I 0.365 0.280 0.481
I 0.635 0.720 0.519
S 0.907 0.348 0.619
S 0.089 0.011 0.724
S 0.911 0.989 0.276
S 0.093 0.652 0.381
S 0.088 0.314 0.026
S 0.676 0.069 0.810
S 0.912 0.686 0.974
S 0.324 0.931 0.190
Sb 0.238 0.650 0.146
Sb 0.762 0.350 0.854
Sb 0.767 0.062 0.562
Sb 0.217 0.294 0.797
Sb 0.783 0.706 0.203
Sb 0.233 0.938 0.438
Cd 0.000 0.000 0.000

A plane-wave DFT calculation with GGA-PBE was carried out for crystalline PmSeI at its relaxed geometry.

Properties
SG: P2_1/c (14)
Formation energy (no corrections) (meV per atom): -1654

Cell lengths 7.234, 7.579, 7.639 Å; angles 102.71, 90.00, 90.00 degrees
Positions (direct):
I 0.780 0.047 0.877
I 0.220 0.953 0.123
I 0.720 0.047 0.377
I 0.280 0.953 0.623
Se 0.248 0.440 0.486
Se 0.752 0.560 0.514
Se 0.748 0.560 0.014
Se 0.252 0.440 0.986
Pm 0.957 0.330 0.210
Pm 0.043 0.670 0.790
Pm 0.543 0.330 0.710
Pm 0.457 0.670 0.290

A plane-wave DFT calculation with GGA-PBE was carried out for crystalline LiGdScNi at its relaxed geometry.

Properties
E_tot (eV/cell): -28.61
SG: F-43m (216)

Cell lengths 4.799, 4.799, 4.799 Å; angles 60.00, 60.00, 60.00 degrees
Last column: magnetic moment on the atom in μB.
Positions (direct):
Sc 0.500 0.500 0.500  0.00
Gd 0.000 0.000 0.000  7.05
Li 0.750 0.750 0.750  0.02
Ni 0.250 0.250 0.250  0.01

A plane-wave DFT calculation with GGA-PBE was carried out for crystalline SrLa2InS at its relaxed geometry.

Properties
SG: P4/mmm (123)
Formation energy (no corrections) (meV per atom): -895

Cell lengths 5.545, 5.545, 5.595 Å; angles 90.00, 90.00, 90.00 degrees
Positions (direct):
La 0.500 0.000 0.000
La 0.000 0.500 0.000
Sr 0.000 0.000 0.500
In 0.500 0.500 0.500
S 0.000 0.000 0.000

A plane-wave DFT calculation with GGA-PBE was carried out for crystalline RbHoEr2 at its relaxed geometry.

Properties
E_tot (eV/cell): -13.41
SG: R-3m (166)

Cell lengths 3.579, 3.579, 13.251 Å; angles 82.24, 82.24, 60.00 degrees
Positions (direct):
Er 0.904 0.904 0.287
Er 0.096 0.096 0.713
Rb 0.000 0.000 0.000
Ho 0.500 0.500 0.500

A plane-wave DFT calculation with GGA-PBE was carried out for crystalline Tb3HoRh2 at its relaxed geometry.

Properties
E_tot (eV/cell): -36.40
SG: C2/m (12)

Cell lengths 4.744, 4.260, 8.021 Å; angles 105.40, 107.26, 90.00 degrees
Positions (direct):
Ho 0.000 0.000 0.000
Rh 0.630 0.130 0.260
Rh 0.370 0.870 0.740
Tb 0.814 0.314 0.628
Tb 0.186 0.686 0.372
Tb 0.500 0.500 0.000

A plane-wave DFT calculation with GGA-PBE was carried out for crystalline AcGd2Al at its relaxed geometry.

Properties
E_tot (eV/cell): -35.87
SG: Fm-3m (225)

Cell lengths 5.554, 5.554, 5.554 Å; angles 60.00, 60.00, 60.00 degrees
Last column: magnetic moment on the atom in μB.
Positions (direct):
Al 0.000 0.000 0.000  -0.01
Gd 0.750 0.750 0.750  7.28
Gd 0.250 0.250 0.250  7.28
Ac 0.500 0.500 0.500  0.21

A plane-wave DFT calculation with GGA-PBE was carried out for crystalline Rb2AcBr6 at its relaxed geometry.

Properties
SG: Amm2 (38)
Formation energy (no corrections) (meV per atom): -1636

Cell lengths 4.814, 8.908, 8.942 Å; angles 119.87, 90.00, 90.00 degrees
Last column: magnetic moment on the atom in μB.
Positions (direct):
Br 0.000 0.761 0.761  0.13
Br 0.500 0.643 0.000  0.16
Br 0.000 0.999 0.239  0.13
Br 0.000 0.241 0.000  0.11
Br 0.500 0.357 0.359  0.14
Br 0.500 0.999 0.641  0.14
Rb 0.000 0.666 0.335  0.00
Rb 0.000 0.332 0.665  0.00
Ac 0.500 0.002 0.000  -0.01

A plane-wave DFT calculation with GGA-PBE was carried out for crystalline ErMnFe2 at its relaxed geometry.

Properties
E_tot (eV/cell): -28.22
SG: R-3m (166)

Cell lengths 2.907, 2.907, 8.510 Å; angles 80.16, 80.16, 60.00 degrees
Last column: magnetic moment on the atom in μB.
Positions (direct):
Er 0.500 0.500 0.500  0.24
Fe 0.738 0.738 0.786  -2.17
Fe 0.262 0.262 0.214  -2.17
Mn 0.000 0.000 0.000  -1.89

A plane-wave DFT calculation with GGA-PBE was carried out for crystalline LiYAg2 at its relaxed geometry.

Properties
E_tot (eV/cell): -14.61
SG: P4mm (99)

Cell lengths 3.576, 3.576, 6.555 Å; angles 90.00, 90.00, 90.00 degrees
Positions (direct):
Ag 0.500 0.500 0.269
Ag 0.000 0.000 0.029
Y 0.500 0.500 0.770
Li 0.000 0.000 0.432

A plane-wave DFT calculation with GGA-PBE was carried out for crystalline CePm6In at its relaxed geometry.

Properties
E_tot (eV/cell): -37.86
SG: P4/mmm (123)

Cell lengths 4.985, 4.985, 10.264 Å; angles 90.00, 90.00, 90.00 degrees
Last column: magnetic moment on the atom in μB.
Positions (direct):
Ce 0.000 0.000 0.500  0.74
Pm 0.500 0.000 0.755  0.02
Pm 0.000 0.500 0.755  0.02
Pm 0.500 0.500 0.500  0.04
Pm 0.500 0.500 0.000  -0.01
Pm 0.000 0.500 0.245  0.02
Pm 0.500 0.000 0.245  0.02
In 0.000 0.000 0.000  0.00